SCAN LaTaTl2, PBEsol geometry; E = -253.04 eV for the cell shown; calculated formation energy = 342 meV/atom
1.0
4.428 0.000 0.000
0.000 4.428 0.000
-2.214 -2.214 5.038
La Tl Ta
1 2 1
Cartesian
2.214 2.214 0.000
2.214 0.000 2.519
0.000 0.000 0.000
0.000 2.214 2.519

SCAN LiTl2Ga2, PBEsol geometry; E = -179.63 eV for the cell shown; calculated formation energy = 33 meV/atom
1.0
4.710 0.000 0.000
0.000 4.710 0.000
-2.355 -2.355 5.652
Ga Li Tl
2 1 2
Cartesian
0.000 0.000 4.444
2.355 2.355 1.207
0.000 0.000 0.000
2.355 0.000 2.826
0.000 2.355 2.826

SCAN TcSn3Os, PBEsol geometry; E = -209.43 eV for the cell shown; calculated formation energy = 1055 meV/atom
1.0
-4.198 2.313 1.555
-0.916 -3.800 3.180
2.633 2.367 3.587
Tc Sn Os
1 3 1
Cartesian
-1.241 0.440 4.161
-2.099 1.157 0.778
-0.458 -1.900 1.590
1.316 1.183 1.793
0.000 0.000 0.000

SCAN P4S3, PBEsol geometry; formation energy from raw total energies = -0.152 eV/atom; E = -286.18 eV for the cell shown
1.0
-5.093 -1.705 -3.369
-1.370 -7.682 5.958
-6.224 6.036 6.352
P S
16 12
Cartesian
-8.132 -4.795 4.081
-4.564 -0.638 4.030
-7.497 2.440 7.324
-9.072 1.953 4.476
-8.436 -4.476 6.279
-5.189 -5.791 1.616
-6.557 -1.266 0.905
-6.129 -2.085 8.036
-7.183 4.204 5.956
-3.614 -5.303 4.465
-4.554 1.444 4.860
-9.801 -1.293 8.212
-2.885 -2.057 0.729
-4.250 1.126 2.662
-5.503 -7.555 2.984
-8.122 -2.712 4.911
-10.070 -2.024 4.555
-7.621 3.428 4.059
-10.519 -4.544 6.509
-7.688 -0.052 2.210
-4.158 -2.930 -0.689
-4.616 -4.259 2.928
-4.998 -3.299 6.731
-8.070 0.908 6.013
-2.167 1.194 2.432
-2.616 -1.326 4.386
-5.065 -6.778 4.882
-8.528 -0.420 9.630

SCAN MnHgBr2, PBEsol geometry; formation energy from raw total energies = -0.130 eV/atom; E = -125.86 eV for the cell shown
1.0
4.001 0.000 0.000
0.000 4.136 0.000
0.000 0.000 5.832
Hg Br Mn
1 2 1
Cartesian
2.000 2.068 0.000
0.000 0.000 0.000
0.000 2.068 2.916
2.000 0.000 2.916

SCAN CaSi2Os, PBEsol geometry; formation energy from raw total energies = 0.314 eV/atom; E = -100.32 eV for the cell shown
1.0
3.976 0.000 0.000
0.000 3.955 0.000
0.000 0.000 3.980
Si Os Ca
2 1 1
Cartesian
1.988 0.000 1.990
0.000 0.000 0.000
0.000 1.977 1.990
1.988 1.977 0.000

SCAN Mn2PRh, PBEsol geometry; E = -81.60 eV for the cell shown; calculated formation energy = -229 meV/atom
1.0
2.641 0.000 0.000
0.000 3.611 0.000
0.000 0.000 4.903
Rh P Mn
1 1 2
Cartesian
1.321 1.805 2.452
1.321 1.805 0.000
0.000 0.000 1.166
0.000 0.000 3.737

SCAN YInHg2, PBEsol geometry; E = -199.56 eV for the cell shown; calculated formation energy = -499 meV/atom
1.0
4.742 0.000 0.000
-2.371 4.679 -0.591
0.000 -1.853 4.367
Hg Y In
2 1 1
Cartesian
2.371 0.950 2.980
0.000 1.875 0.796
2.371 0.000 0.000
0.000 -0.927 2.184

SCAN CoAs2Br, PBEsol geometry; formation energy from raw total energies = 0.063 eV/atom; E = -76.89 eV for the cell shown
1.0
-1.288 -1.309 -2.032
-1.807 -1.569 2.156
-5.685 6.101 -0.325
As Br Co
2 1 1
Cartesian
-0.918 0.985 -0.052
-4.767 5.116 -0.272
-4.390 1.612 -0.100
-1.547 -1.439 0.062

SCAN BaSnO3, PBEsol geometry; formation energy from raw total energies = -0.402 eV/atom; E = -96.17 eV for the cell shown
1.0
-0.065 -3.688 -2.734
0.436 -2.727 3.668
-4.570 -0.208 0.389
Ba O Sn
1 3 1
Cartesian
0.000 0.000 0.000
-0.032 -1.844 -1.367
0.218 -1.363 1.834
-2.285 -0.104 0.194
-2.099 -3.311 0.661

SCAN MgRh, PBEsol geometry; E = -38.46 eV for the cell shown; calculated formation energy = 144 meV/atom
1.0
-0.505 1.987 -2.964
-2.887 2.142 -0.263
0.394 3.580 0.142
Rh Mg
1 1
Cartesian
-1.499 3.855 -1.543
0.000 0.000 0.000

SCAN LaTaW2, PBEsol geometry; E = -245.86 eV for the cell shown; calculated formation energy = 800 meV/atom
1.0
-2.446 -0.422 -1.921
0.813 -3.969 2.400
-3.517 2.320 3.969
W Ta La
2 1 1
Cartesian
-3.861 -0.514 2.465
-1.289 -1.557 1.982
-1.758 1.160 1.984
-1.223 -0.211 -0.961

SCAN AsIrOs2, PBEsol geometry; E = -234.04 eV for the cell shown; calculated formation energy = 251 meV/atom
1.0
2.790 0.000 0.000
1.395 2.416 0.000
1.395 0.805 8.438
Ir As Os
1 1 2
Cartesian
1.395 0.805 2.178
2.790 1.611 4.235
1.395 0.805 8.398
4.185 2.416 6.284

SCAN Li3CdPd, PBEsol geometry; E = -70.48 eV for the cell shown; calculated formation energy = -25 meV/atom
1.0
-3.496 0.542 3.036
-2.298 -3.517 -2.018
2.056 -3.010 2.905
Li Cd Pd
3 1 1
Cartesian
-1.149 -1.759 -1.009
-1.748 0.271 1.518
1.028 -1.505 1.452
-1.869 -2.993 1.961
0.000 0.000 0.000